The following is a DFT calculation (PBE) of crystalline CdHg2I at its relaxed geometry.

Properties
The calculation puts the formation energy (no corrections) at 0.080 eV/atom. The density of states at the Fermi level comes out at 0.897 states/eV per atom. The uncorrected energy comes out at -0.687 eV per atom.

a b c (Å): 7.935 7.935 7.935
angles (deg): 90.00 90.00 90.00
Space group Fm-3m (No. 225)
One atom of each set of equivalent atoms:
Cd 0.000 0.000 0.000
Hg 0.250 0.250 0.250
I 0.000 0.000 0.500